The following is a SCAN calculation of a crystal of Ti2N2O relaxed with PBEsol, from the Alexandria database.

Output
Formation energy from raw total energies, eV/atom: -2.101
Electronic total energy, eV per atom: -13.475

Cell: 2.960 5.114 15.132 Å, 85.29 84.39 73.18°
Positions (direct):
1 Ti 0.755 0.575 0.915
2 Ti 0.994 0.343 0.669
3 Ti 0.234 0.109 0.423
4 Ti 0.006 0.657 0.331
5 Ti 0.245 0.425 0.085
6 Ti 0.222 0.796 0.760
7 Ti 0.766 0.891 0.577
8 Ti 0.778 0.204 0.240
9 N 0.843 0.528 0.785
10 N 0.157 0.472 0.215
11 N 0.146 0.157 0.551
12 N 0.387 0.934 0.293
13 N 0.624 0.381 0.370
14 N 0.376 0.619 0.630
15 N 0.854 0.843 0.449
16 N 0.613 0.066 0.707
17 O 0.649 0.655 0.047
18 O 0.351 0.345 0.953
19 O 0.139 0.839 0.883
20 O 0.861 0.161 0.117